A plane-wave DFT calculation with PBE was carried out for an optimized crystal structure of HgWBr2.

## Properties
SG ... No. 44

a b c (Å): 7.550 7.550 7.550
angles (deg): 155.90 142.51 45.06
Element x y z (fractional)
Hg1 0.414 0.414 0.000
Br1 0.092 0.092 0.000
Br2 0.756 0.256 0.500
W1 0.238 0.738 0.500

=====

A plane-wave DFT calculation with PBE was carried out for an optimized crystal structure of HgWBr2.

## Properties
SG ... No. 123

a b c (Å): 5.296 5.296 3.369
angles (deg): 90.00 90.00 90.00
Element x y z (fractional)
W1 0.000 0.500 0.500
Br1 0.000 0.000 0.000
Hg1 0.500 0.000 0.500
Br2 0.500 0.500 0.000

=====

A plane-wave DFT calculation with PBE was carried out for an optimized crystal structure of HgW2Br.

## Properties
SG ... No. 8

a b c (Å): 6.874 6.874 4.881
angles (deg): 82.30 82.30 26.91
Element x y z (fractional)
Br1 0.446 0.446 0.678
W1 0.101 0.101 0.810
Hg1 0.213 0.213 0.262
W2 0.740 0.740 0.750

=====

ΔE_f (raw) (meV/atom)
536; 1138; 844
Total magnetic moment (μB/f.u.)
1.3; 3.4; 0.0
E above lowest polymorph (eV/atom)
0.3306; 0.9325; 0.4524